(1)
NaCaY2Co | Alexandria | PBE-GGA | optimized geometry; total magnetization = 1.671 μB per formula unit; DFT formation energy = 1545.1 meV/atom; energy = -15.629 eV/cell; crystal system = tetragonal
1.0
5.719 0.000 0.000
0.000 5.719 0.000
0.000 0.000 4.969
Na Ca Y Co
1 1 2 1
Direct
0.000 0.000 0.000 Na
0.000 0.000 0.500 Ca
0.000 0.500 0.500 Y
0.500 0.000 0.500 Y
0.500 0.500 0.000 Co



(2)
NaCaY2Co | Alexandria | PBE-GGA | optimized geometry; total magnetization = 0.000 μB per formula unit; DFT formation energy = 50.9 meV/atom; energy = -23.100 eV/cell; crystal system = tetragonal
1.0
5.232 0.000 0.000
0.000 5.232 0.000
0.000 0.000 5.686
Na Ca Y Co
1 1 2 1
Direct
0.000 0.000 0.000 Na
0.500 0.500 0.000 Ca
0.000 0.500 0.500 Y
0.500 0.000 0.500 Y
0.500 0.500 0.500 Co



(3)
CaNb2Co2 | Alexandria | PBE-GGA | optimized geometry; total magnetization = 0.000 μB per formula unit; DFT formation energy = 22.9 meV/atom; energy = -72.476 eV/cell; crystal system = tetragonal
1.0
4.308 0.000 0.000
0.000 4.308 0.000
0.000 0.000 9.845
Ca Nb Co
2 4 4
Direct
0.000 0.000 0.000 Ca
0.500 0.500 0.500 Ca
0.000 0.500 0.250 Nb
0.000 0.500 0.750 Nb
0.500 0.000 0.250 Nb
0.500 0.000 0.750 Nb
0.000 0.000 0.377 Co
0.000 0.000 0.623 Co
0.500 0.500 0.123 Co
0.500 0.500 0.877 Co



(4)
Ca2NbCo2 | Alexandria | PBE-GGA | optimized geometry; total magnetization = 1.544 μB per formula unit; DFT formation energy = 1166.3 meV/atom; energy = -44.906 eV/cell; crystal system = tetragonal
1.0
4.640 0.000 0.000
0.000 4.640 0.000
0.000 0.000 9.085
Ca Nb Co
4 2 4
Direct
0.000 0.000 0.143 Ca
0.000 0.000 0.857 Ca
0.500 0.500 0.357 Ca
0.500 0.500 0.643 Ca
0.000 0.000 0.500 Nb
0.500 0.500 0.000 Nb
0.000 0.500 0.250 Co
0.000 0.500 0.750 Co
0.500 0.000 0.250 Co
0.500 0.000 0.750 Co



(5)
CaNb2Co | Alexandria | PBE-GGA | optimized geometry; total magnetization = 0.000 μB per formula unit; DFT formation energy = 729.6 meV/atom; energy = -105.313 eV/cell; crystal system = cubic
1.0
6.515 0.000 0.000
0.000 6.515 0.000
0.000 0.000 6.515
Ca Nb Co
4 8 4
Direct
0.000 0.000 0.000 Ca
0.000 0.500 0.500 Ca
0.500 0.000 0.500 Ca
0.500 0.500 0.000 Ca
0.250 0.250 0.250 Nb
0.250 0.250 0.750 Nb
0.250 0.750 0.250 Nb
0.250 0.750 0.750 Nb
0.750 0.250 0.250 Nb
0.750 0.250 0.750 Nb
0.750 0.750 0.250 Nb
0.750 0.750 0.750 Nb
0.000 0.000 0.500 Co
0.000 0.500 0.000 Co
0.500 0.000 0.000 Co
0.500 0.500 0.500 Co



(6)
CaNb4Co2 | Alexandria | PBE-GGA | optimized geometry; total magnetization = 1.542 μB per formula unit; DFT formation energy = 1669.0 meV/atom; energy = -89.618 eV/cell; crystal system = tetragonal
1.0
4.703 0.000 0.000
0.000 4.703 0.000
0.000 0.000 12.574
Ca Nb Co
2 8 4
Direct
0.000 0.000 0.000 Ca
0.500 0.500 0.500 Ca
0.000 0.000 0.224 Nb
0.000 0.000 0.776 Nb
0.000 0.500 0.000 Nb
0.000 0.500 0.500 Nb
0.500 0.000 0.000 Nb
0.500 0.000 0.500 Nb
0.500 0.500 0.276 Nb
0.500 0.500 0.724 Nb
0.000 0.000 0.399 Co
0.000 0.000 0.601 Co
0.500 0.500 0.101 Co
0.500 0.500 0.899 Co